Entry 1:
Material: GaTeAs2
Method: DFT, GGA-PBEsol
State: relaxed

a = 4.875 Å, b = 4.875 Å, c = 4.875 Å
α = 60.00°, β = 60.00°, γ = 60.00°
Fractional coordinates of all 4 atoms:
Ga (0.000, 0.000, 0.000)
Te (0.500, 0.500, 0.500)
As (0.250, 0.250, 0.250)
As (0.750, 0.750, 0.750)

Summary:
Formation energy without anion corrections: 0.31 eV per atom
SG: No. 225



Entry 2:
Material: YAl3
Method: DFT, GGA-PBEsol
State: relaxed

a = 9.669 Å, b = 9.669 Å, c = 9.669 Å
α = 18.59°, β = 18.59°, γ = 18.59°
Fractional coordinates of all 4 atoms:
Y (0.000, 0.000, 0.000)
Al (0.242, 0.242, 0.242)
Al (0.500, 0.500, 0.500)
Al (0.758, 0.758, 0.758)

Summary:
ΔE_f: 10 meV/atom
SG: No. 166



Entry 3:
Material: Tc2IrBr
Method: DFT, GGA-PBEsol
State: relaxed

a = 4.541 Å, b = 4.541 Å, c = 2.853 Å
α = 90.00°, β = 90.00°, γ = 90.00°
Fractional coordinates of all 4 atoms:
Tc (0.000, 0.500, 0.000)
Tc (0.500, 0.000, 0.000)
Ir (0.000, 0.000, 0.500)
Br (0.500, 0.500, 0.500)

Summary:
Formation energy without anion corrections: 0.70 eV per atom
SG: No. 123
Excess energy over the best structure of this formula in the dataset: 134 meV per atom



Mass density (g/cm³)
7.0, 3.5, 13.2
E_tot (eV/atom)
-3.96, -4.76, -7.85